(1)
Computed, not measured: an optimized crystal structure of Ac2Sn2O7 at the GGA-PBE level of DFT.

Calculated values
E   -629.12 eV for the cell shown

Cell: 11.025 11.025 11.025 Å, 90.00 90.00 90.00°
Space group Fd-3m (No. 227, origin choice 2)
Symmetry-distinct sites (fractional):
Ac  0.000  0.000  0.000 [16 per cell]
Sn  0.000  0.000  0.500 [16 per cell]
O  0.078  0.375  0.875 [48 per cell]
O  0.125  0.125  0.125 [8 per cell]

(2)
Computed, not measured: an optimized crystal structure of In5Cu at the GGA-PBE level of DFT.

Calculated values
E   -15.39 eV for the cell shown

Cell: 5.8229 5.8229 5.8557 Å, 90.00 90.00 120.00°
Space group P6/mmm (No. 191)
Symmetry-distinct sites (fractional):
In  0.0000  0.5000  0.0000 [3 per cell]
In  0.3333  0.6667  0.5000 [2 per cell]
Cu  0.0000  0.0000  0.5000 [1 per cell]

(3)
Computed, not measured: an optimized crystal structure of AcLaPmSm at the GGA-PBE level of DFT.

Calculated values
E   -71.56 eV for the cell shown
ΔE to the lowest computed polymorph   0.124 eV/atom

Cell: 8.459 8.459 8.459 Å, 90.00 90.00 90.00°
Space group F-43m (No. 216)
Symmetry-distinct sites (fractional):
Ac  0.000  0.000  0.000 [4 per cell]
La  0.250  0.250  0.750 [4 per cell]
Pm  0.000  0.000  0.500 [4 per cell]
Sm  0.250  0.250  0.250 [4 per cell]